Computed, not measured: a relaxed structure of Na2Sn3Pb at the PBE level of DFT.

Cell: 8.0828 8.0829 9.6759 Å, 101.82 146.69 75.77°
Element x y z (fractional)
Sn 0.8139 0.0639 0.7500
Sn 0.8448 0.2701 0.2520
Sn 0.5182 0.5928 0.2480
Sn 0.4818 0.4072 0.7520
Sn 0.1861 0.9361 0.2500
Sn 0.1552 0.7299 0.7480
Na 0.2522 0.3390 0.2502
Na 0.5889 0.0020 0.2498
Na 0.7478 0.6610 0.7498
Na 0.4111 0.9980 0.7502
Pb 0.0725 0.3225 0.7500
Pb 0.9275 0.6775 0.2500

Values from the calculation:
DOS at the Fermi energy, states/eV/f.u.: 2.8
Formation energy, eV/atom: -0.11
Energy relative to the lowest polymorph listed for this composition, meV per atom: 37